This record from Alexandria via LeMat-Bulk describes Lu2Pb2O7 after structural relaxation. The functional is PBEsol.

The calculation puts the formation energy without anion corrections at -2135 meV per atom. For the magnetic moment, the calculation gives 0.0000 μB per atom. The volume comes out at 13.131 Å³/atom.

Cell: 7.4202 7.4202 7.4202 Å, 60.00 60.00 60.00°
Last column: nearest neighbours and their distance in Å.
Atoms (fractional coordinates):
Lu 0.0000 0.0000 0.0000  8 O 2.27-2.40
Lu 0.0000 0.0000 0.5000  8 O 2.27-2.40
Lu 0.0000 0.5000 0.0000  8 O 2.27-2.40
Lu 0.5000 0.0000 0.0000  8 O 2.27-2.40
Pb 0.0000 0.5000 0.5000  6 O 2.15
Pb 0.5000 0.0000 0.5000  6 O 2.15
Pb 0.5000 0.5000 0.0000  6 O 2.15
Pb 0.5000 0.5000 0.5000  6 O 2.15
O 0.1250 0.1250 0.1250  4 Lu 2.27
O 0.1458 0.1458 0.6042  2 Pb 2.15, 2 Lu 2.40
O 0.1458 0.6042 0.1458  2 Pb 2.15, 2 Lu 2.40
O 0.1458 0.6042 0.6042  2 Pb 2.15, 2 Lu 2.40
O 0.3958 0.3958 0.8542  2 Pb 2.15, 2 Lu 2.40
O 0.3958 0.8542 0.3958  2 Pb 2.15, 2 Lu 2.40
O 0.3958 0.8542 0.8542  2 Pb 2.15, 2 Lu 2.40
O 0.6042 0.1458 0.1458  2 Pb 2.15, 2 Lu 2.40
O 0.6042 0.1458 0.6042  2 Pb 2.15, 2 Lu 2.40
O 0.6042 0.6042 0.1458  2 Pb 2.15, 2 Lu 2.40
O 0.8542 0.3958 0.3958  2 Pb 2.15, 2 Lu 2.40
O 0.8542 0.3958 0.8542  2 Pb 2.15, 2 Lu 2.40
O 0.8542 0.8542 0.3958  2 Pb 2.15, 2 Lu 2.40
O 0.8750 0.8750 0.8750  4 Lu 2.27